# 1
# TiHgPd2

A relaxed TiHgPd2 crystal (PBE-GGA, the Alexandria database).

N(E_F) ... 5.02 states/eV/cell
Total energy ... -40.4 eV for the cell shown
Energy of formation ... -0.4005 eV/atom
Magnetic moment ... 0.00 μB/cell

Unit cell a=4.7485 b=4.8597 c=5.7367 alpha=90.00 beta=90.00 gamma=90.00
Positions (direct):
Pd (0.0000, 0.8252, 0.2501)
Hg (0.5000, 0.6721, 0.0000)
Pd (0.5000, 0.1748, 0.2499)
Pd (0.5000, 0.1748, 0.7501)
Hg (0.0000, 0.3279, 0.5000)
Pd (0.0000, 0.8252, 0.7499)
Ti (0.5000, 0.6815, 0.5000)
Ti (0.0000, 0.3185, 0.0000)


# 2
# Ti5HgPd6

A relaxed Ti5HgPd6 crystal (PBE-GGA, the Alexandria database).

N(E_F) ... 14.36 states/eV/cell
Total energy ... -76.5 eV for the cell shown
Energy of formation ... -0.4628 eV/atom
Magnetic moment ... 0.43 μB/cell

Unit cell a=4.8201 b=5.7329 c=6.9387 alpha=90.00 beta=92.21 gamma=90.00
Last column: magnetic moment on the atom in μB.
Positions (direct):
Ti (0.0000, 0.5000, 0.0000)  -0.18
Pd (0.8267, 0.2529, 0.6602)  0.01
Ti (0.3350, 0.0000, 0.6683)  0.24
Ti (0.6650, 0.0000, 0.3317)  0.24
Ti (0.6705, 0.5000, 0.3394)  0.02
Pd (0.1733, 0.7471, 0.3398)  0.01
Pd (0.5000, 0.7401, 0.0000)  0.00
Ti (0.3295, 0.5000, 0.6606)  0.02
Hg (0.0000, 0.0000, 0.0000)  0.00
Pd (0.8267, 0.7471, 0.6602)  0.01
Pd (0.1733, 0.2529, 0.3398)  0.01
Pd (0.5000, 0.2599, 0.0000)  0.00


# 3
# TiHg3Pd12

A relaxed TiHg3Pd12 crystal (PBE-GGA, the Alexandria database).

N(E_F) ... 18.63 states/eV/cell
Total energy ... -75.1 eV for the cell shown
Energy of formation ... -0.2502 eV/atom
Magnetic moment ... 0.00 μB/cell

Unit cell a=3.9961 b=3.9961 c=16.3257 alpha=90.00 beta=90.00 gamma=90.00
Positions (direct):
Pd (0.5000, 0.5000, 0.7573)
Pd (0.5000, 0.0000, 0.1151)
Pd (0.0000, 0.5000, 0.8849)
Pd (0.0000, 0.5000, 0.3728)
Pd (0.5000, 0.5000, 0.0000)
Pd (0.5000, 0.0000, 0.8849)
Hg (0.0000, 0.0000, 0.5000)
Pd (0.5000, 0.0000, 0.3728)
Pd (0.5000, 0.5000, 0.5000)
Ti (0.0000, 0.0000, 0.0000)
Pd (0.5000, 0.5000, 0.2427)
Hg (0.0000, 0.0000, 0.7536)
Pd (0.0000, 0.5000, 0.6272)
Pd (0.5000, 0.0000, 0.6272)
Hg (0.0000, 0.0000, 0.2464)
Pd (0.0000, 0.5000, 0.1151)


# 4
# TiHg3Pd

A relaxed TiHg3Pd crystal (PBE-GGA, the Alexandria database).

N(E_F) ... 8.60 states/eV/cell
Total energy ... -10.6 eV for the cell shown
Energy of formation ... 0.6697 eV/atom
Magnetic moment ... 0.00 μB/cell

Unit cell a=5.0987 b=5.0987 c=5.0987 alpha=90.00 beta=90.00 gamma=90.00
Positions (direct):
Pd (0.0000, 0.0000, 0.0000)
Ti (0.5000, 0.5000, 0.5000)
Hg (0.0000, 0.5000, 0.0000)
Hg (0.5000, 0.0000, 0.0000)
Hg (0.0000, 0.0000, 0.5000)


# 5
# TiTl2HgPd

A relaxed TiTl2HgPd crystal (PBE-GGA, the Alexandria database).

N(E_F) ... 5.22 states/eV/cell
Total energy ... -14.2 eV for the cell shown
Energy of formation ... 0.7768 eV/atom
Magnetic moment ... 1.26 μB/cell

Unit cell a=5.3773 b=5.2033 c=5.3773 alpha=90.00 beta=90.00 gamma=90.00
Last column: magnetic moment on the atom in μB.
Positions (direct):
Pd (0.5000, 0.5000, 0.5000)  0.03
Hg (0.0000, 0.5000, 0.0000)  0.06
Tl (0.0000, 0.0000, 0.5000)  0.04
Tl (0.5000, 0.0000, 0.0000)  0.04
Ti (0.0000, 0.0000, 0.0000)  0.82


# 6
# Ti2VHgPd

A relaxed Ti2VHgPd crystal (PBE-GGA, the Alexandria database).

N(E_F) ... 6.95 states/eV/cell
Total energy ... -26.8 eV for the cell shown
Energy of formation ... 0.7240 eV/atom
Magnetic moment ... 0.00 μB/cell

Unit cell a=4.7662 b=4.6315 c=4.7662 alpha=90.00 beta=90.00 gamma=90.00
Positions (direct):
Ti (0.5000, 0.0000, 0.0000)
Hg (0.5000, 0.5000, 0.5000)
Ti (0.0000, 0.0000, 0.5000)
V (0.0000, 0.5000, 0.0000)
Pd (0.0000, 0.0000, 0.0000)


# 7
# Y2TiHgPd

A relaxed Y2TiHgPd crystal (PBE-GGA, the Alexandria database).

N(E_F) ... 7.44 states/eV/cell
Total energy ... -23.3 eV for the cell shown
Energy of formation ... 0.5977 eV/atom
Magnetic moment ... 2.04 μB/cell

Unit cell a=5.5723 b=4.9858 c=5.5723 alpha=90.00 beta=90.00 gamma=90.00
Last column: magnetic moment on the atom in μB.
Positions (direct):
Y (0.0000, 0.0000, 0.5000)  0.06
Hg (0.0000, 0.0000, 0.0000)  0.04
Y (0.5000, 0.0000, 0.0000)  0.05
Ti (0.0000, 0.5000, 0.0000)  1.27
Pd (0.5000, 0.5000, 0.5000)  -0.02


# 8
# ZrTiHgPd

A relaxed ZrTiHgPd crystal (PBE-GGA, the Alexandria database).

N(E_F) ... 2.92 states/eV/cell
Total energy ... -23.3 eV for the cell shown
Energy of formation ... -0.3531 eV/atom
Magnetic moment ... 0.00 μB/cell

Unit cell a=3.4344 b=3.4344 c=6.3752 alpha=90.00 beta=90.00 gamma=90.00
Positions (direct):
Ti (0.5000, 0.5000, 0.1189)
Hg (0.0000, 0.0000, 0.3538)
Zr (0.0000, 0.0000, 0.8430)
Pd (0.5000, 0.5000, 0.6123)


# 9
# Tl4Hg2Pd

A relaxed Tl4Hg2Pd crystal (PBE-GGA, the Alexandria database).

N(E_F) ... 2.90 states/eV/cell
Total energy ... -15.5 eV for the cell shown
Energy of formation ... -0.0345 eV/atom
Magnetic moment ... 0.00 μB/cell

Unit cell a=4.9459 b=6.3820 c=7.0206 alpha=109.23 beta=110.62 gamma=90.00
Positions (direct):
Hg (0.2213, 0.2779, 0.4426)
Tl (0.8653, 0.2712, 0.7307)
Tl (0.4496, 0.7245, 0.8991)
Tl (0.1347, 0.7288, 0.2693)
Pd (0.0000, 0.0000, 0.0000)
Hg (0.7787, 0.7221, 0.5574)
Tl (0.5504, 0.2755, 0.1009)


# 10
# TlHg2Pd8

A relaxed TlHg2Pd8 crystal (PBE-GGA, the Alexandria database).

N(E_F) ... 5.79 states/eV/cell
Total energy ... -46.2 eV for the cell shown
Energy of formation ... -0.1534 eV/atom
Magnetic moment ... 0.00 μB/cell

Unit cell a=4.1474 b=6.3632 c=7.5799 alpha=104.29 beta=105.88 gamma=90.00
Positions (direct):
Pd (0.9587, 0.2772, 0.9174)
Hg (0.7764, 0.3526, 0.5527)
Pd (0.4093, 0.5426, 0.8186)
Pd (0.6795, 0.9096, 0.3590)
Pd (0.8618, 0.8184, 0.7236)
Tl (0.5000, 0.0000, 0.0000)
Pd (0.5907, 0.4574, 0.1814)
Pd (0.1382, 0.1816, 0.2764)
Pd (0.3205, 0.0904, 0.6410)
Hg (0.2236, 0.6474, 0.4473)
Pd (0.0413, 0.7228, 0.0826)


# 11
# TlHg2Pd4

A relaxed TlHg2Pd4 crystal (PBE-GGA, the Alexandria database).

N(E_F) ... 1.79 states/eV/cell
Total energy ... -23.9 eV for the cell shown
Energy of formation ... -0.0291 eV/atom
Magnetic moment ... 0.00 μB/cell

Unit cell a=5.6565 b=5.6565 c=5.6565 alpha=115.72 beta=106.44 gamma=106.44
Positions (direct):
Tl (0.0000, 0.0000, 0.0000)
Pd (0.5000, 0.0000, 0.0000)
Hg (0.5000, 0.5000, 0.0000)
Pd (0.0000, 0.5000, 0.0000)
Hg (0.5000, 0.0000, 0.5000)
Pd (0.0000, 0.0000, 0.5000)
Pd (0.5000, 0.5000, 0.5000)


# 12
# Tl2Hg5Pd12

A relaxed Tl2Hg5Pd12 crystal (PBE-GGA, the Alexandria database).

N(E_F) ... 9.52 states/eV/cell
Total energy ... -70.6 eV for the cell shown
Energy of formation ... -0.1067 eV/atom
Magnetic moment ... 0.00 μB/cell

Unit cell a=8.3830 b=7.8312 c=6.2349 alpha=93.11 beta=90.00 gamma=122.36
Positions (direct):
Hg (0.6639, 0.3278, 0.9143)
Pd (0.1716, 0.7952, 0.4026)
Tl (0.2231, 0.0000, 0.0000)
Pd (0.3764, 0.2048, 0.5974)
Pd (0.0497, 0.6048, 0.7995)
Hg (0.0000, 0.0000, 0.5000)
Hg (0.7582, 0.5164, 0.4900)
Pd (0.4449, 0.3952, 0.2005)
Pd (0.8596, 0.7191, 0.1159)
Pd (0.5445, 0.0890, 0.2808)
Pd (0.9503, 0.3952, 0.2005)
Pd (0.5551, 0.6048, 0.7995)
Pd (0.6236, 0.7952, 0.4026)
Hg (0.2418, 0.4836, 0.5100)
Pd (0.4555, 0.9110, 0.7192)
Pd (0.8284, 0.2048, 0.5974)
Hg (0.3361, 0.6722, 0.0857)
Tl (0.7769, 0.0000, 0.0000)
Pd (0.1404, 0.2809, 0.8841)


# 13
# Tl2Hg2Pd

A relaxed Tl2Hg2Pd crystal (PBE-GGA, the Alexandria database).

N(E_F) ... 3.12 states/eV/cell
Total energy ... -21.5 eV for the cell shown
Energy of formation ... -0.0477 eV/atom
Magnetic moment ... 0.00 μB/cell

Unit cell a=7.2017 b=6.5764 c=6.5764 alpha=112.94 beta=104.56 gamma=104.56
Positions (direct):
Tl (0.2521, 0.2387, 0.6362)
Hg (0.5875, 0.7991, 0.7991)
Tl (0.7479, 0.3638, 0.7613)
Hg (0.8555, 0.2697, 0.2697)
Tl (0.7479, 0.7613, 0.3638)
Hg (0.1445, 0.7303, 0.7303)
Hg (0.4125, 0.2009, 0.2009)
Pd (0.0000, 0.1247, 0.8753)
Tl (0.2521, 0.6362, 0.2387)
Pd (0.0000, 0.8753, 0.1247)


# 14
# Tl2Hg3Pd8

A relaxed Tl2Hg3Pd8 crystal (PBE-GGA, the Alexandria database).

N(E_F) ... 4.40 states/eV/cell
Total energy ... -47.8 eV for the cell shown
Energy of formation ... -0.0481 eV/atom
Magnetic moment ... 0.00 μB/cell

Unit cell a=4.5815 b=8.3360 c=8.3358 alpha=51.74 beta=90.00 gamma=90.00
Positions (direct):
Pd (0.0000, 0.3352, 0.3351)
Hg (0.0000, 0.2998, 0.7001)
Pd (0.5000, 0.1891, 0.5895)
Tl (0.5000, 0.2295, 0.2294)
Pd (0.0000, 0.8770, 0.8771)
Pd (0.5000, 0.8109, 0.4105)
Hg (0.0000, 0.7002, 0.2999)
Tl (0.5000, 0.7705, 0.7706)
Pd (0.0000, 0.6648, 0.6649)
Hg (0.5000, 0.0000, 0.0000)
Pd (0.5000, 0.4105, 0.8109)
Pd (0.5000, 0.5895, 0.1891)
Pd (0.0000, 0.1230, 0.1229)


# 15
# Tl17Hg11Pd

A relaxed Tl17Hg11Pd crystal (PBE-GGA, the Alexandria database).

N(E_F) ... 9.68 states/eV/cell
Total energy ... -49.0 eV for the cell shown
Energy of formation ... -0.0075 eV/atom
Magnetic moment ... 0.00 μB/cell

Unit cell a=10.2522 b=10.2522 c=10.1754 alpha=109.58 beta=109.58 gamma=109.34
Positions (direct):
Tl (0.7235, 0.4048, 0.3959)
Tl (0.0094, 0.0094, 0.3526)
Hg (0.3655, 0.1855, 0.3195)
Hg (0.2057, 0.2057, 0.8963)
Tl (0.6210, 0.6210, 0.6243)
Tl (0.9824, 0.3596, 0.9885)
Tl (0.6064, 0.0001, 0.3175)
Tl (0.9791, 0.9791, 0.9870)
Hg (0.6238, 0.0059, 0.8194)
Tl (0.3328, 0.5825, 0.0122)
Tl (0.7062, 0.7062, 0.3058)
Tl (0.2742, 0.6528, 0.6607)
Tl (0.5825, 0.3328, 0.0122)
Pd (0.4362, 0.4362, 0.2355)
Tl (0.0001, 0.6064, 0.3175)
Tl (0.4048, 0.7235, 0.3959)
Tl (0.9972, 0.3109, 0.6086)
Hg (0.8283, 0.1907, 0.1943)
Hg (0.8196, 0.0084, 0.6489)
Hg (0.0084, 0.8196, 0.6489)
Hg (0.0059, 0.6238, 0.8194)
Tl (0.3596, 0.9824, 0.9885)
Hg (0.1855, 0.3655, 0.3195)
Hg (0.6199, 0.8007, 0.9881)
Tl (0.3109, 0.9972, 0.6086)
Hg (0.8007, 0.6199, 0.9881)
Hg (0.1907, 0.8283, 0.1943)
Tl (0.3669, 0.3669, 0.6912)
Tl (0.6528, 0.2742, 0.6607)


# 16
# TlHgPd4

A relaxed TlHgPd4 crystal (PBE-GGA, the Alexandria database).

N(E_F) ... 8.54 states/eV/cell
Total energy ... -23.4 eV for the cell shown
Energy of formation ... 0.0140 eV/atom
Magnetic moment ... 0.00 μB/cell

Unit cell a=5.3996 b=5.3996 c=5.3996 alpha=60.00 beta=60.00 gamma=60.00
Positions (direct):
Pd (0.6251, 0.1246, 0.6251)
Hg (0.0000, 0.0000, 0.0000)
Pd (0.6251, 0.6251, 0.6251)
Pd (0.1246, 0.6251, 0.6251)
Pd (0.6251, 0.6251, 0.1246)
Tl (0.2500, 0.2500, 0.2500)


# 17
# Tl4Hg2Pd

A relaxed Tl4Hg2Pd crystal (PBE-GGA, the Alexandria database).

N(E_F) ... 4.81 states/eV/cell
Total energy ... -15.1 eV for the cell shown
Energy of formation ... 0.0298 eV/atom
Magnetic moment ... 0.00 μB/cell

Unit cell a=5.3231 b=5.3231 c=8.8424 alpha=107.52 beta=107.52 gamma=90.00
Positions (direct):
Hg (0.6329, 0.6329, 0.2657)
Tl (0.0000, 0.5000, 0.0000)
Tl (0.1760, 0.1760, 0.3520)
Hg (0.3671, 0.3671, 0.7343)
Tl (0.8240, 0.8240, 0.6480)
Pd (0.0000, 0.0000, 0.0000)
Tl (0.5000, 0.0000, 0.0000)


# 18
# Tl2Hg2Pd

A relaxed Tl2Hg2Pd crystal (PBE-GGA, the Alexandria database).

N(E_F) ... 3.76 states/eV/cell
Total energy ... -20.3 eV for the cell shown
Energy of formation ... 0.0795 eV/atom
Magnetic moment ... 0.00 μB/cell

Unit cell a=7.2906 b=7.2906 c=5.2623 alpha=90.00 beta=90.00 gamma=90.00
Positions (direct):
Tl (0.3356, 0.8356, 0.0000)
Tl (0.1644, 0.3356, 0.0000)
Pd (0.0000, 0.0000, 0.0000)
Tl (0.6644, 0.1644, 0.0000)
Tl (0.8356, 0.6644, 0.0000)
Hg (0.3388, 0.1612, 0.5000)
Hg (0.6612, 0.8388, 0.5000)
Hg (0.1612, 0.6612, 0.5000)
Pd (0.5000, 0.5000, 0.0000)
Hg (0.8388, 0.3388, 0.5000)


# 19
# TlHgPd6

A relaxed TlHgPd6 crystal (PBE-GGA, the Alexandria database).

N(E_F) ... 12.34 states/eV/cell
Total energy ... -34.9 eV for the cell shown
Energy of formation ... -0.1369 eV/atom
Magnetic moment ... 0.00 μB/cell

Unit cell a=4.0671 b=4.0671 c=8.1409 alpha=90.00 beta=90.00 gamma=90.00
Positions (direct):
Pd (0.0000, 0.5000, 0.7507)
Pd (0.5000, 0.0000, 0.2493)
Pd (0.5000, 0.5000, 0.5000)
Hg (0.0000, 0.0000, 0.0000)
Pd (0.5000, 0.0000, 0.7507)
Pd (0.5000, 0.5000, 0.0000)
Pd (0.0000, 0.5000, 0.2493)
Tl (0.0000, 0.0000, 0.5000)


# 20
# Tl3Hg3Pd2

A relaxed Tl3Hg3Pd2 crystal (PBE-GGA, the Alexandria database).

N(E_F) ... 3.51 states/eV/cell
Total energy ... -18.7 eV for the cell shown
Energy of formation ... -0.0424 eV/atom
Magnetic moment ... 0.00 μB/cell

Unit cell a=4.7051 b=4.7124 c=9.0494 alpha=103.25 beta=103.01 gamma=90.12
Positions (direct):
Tl (0.0000, 0.0000, 0.0000)
Tl (0.8413, 0.3484, 0.7049)
Hg (0.6591, 0.1643, 0.2974)
Pd (0.7524, 0.7615, 0.5043)
Hg (0.3409, 0.8357, 0.7026)
Hg (0.5000, 0.5000, 0.0000)
Tl (0.1587, 0.6516, 0.2951)
Pd (0.2476, 0.2385, 0.4957)


# 21
# Tl8Hg2Pd

A relaxed Tl8Hg2Pd crystal (PBE-GGA, the Alexandria database).

N(E_F) ... 4.57 states/eV/cell
Total energy ... -24.7 eV for the cell shown
Energy of formation ... 0.0015 eV/atom
Magnetic moment ... 0.00 μB/cell

Unit cell a=3.6259 b=9.9048 c=9.1297 alpha=99.16 beta=101.45 gamma=90.00
Positions (direct):
Tl (0.3418, 0.9483, 0.6835)
Hg (0.1724, 0.7875, 0.3448)
Pd (0.5000, 0.0000, 0.0000)
Tl (0.0102, 0.2227, 0.0204)
Tl (0.9898, 0.7773, 0.9796)
Tl (0.6582, 0.0517, 0.3165)
Tl (0.4099, 0.4677, 0.8198)
Hg (0.8276, 0.2125, 0.6552)
Tl (0.7930, 0.6396, 0.5860)
Tl (0.5901, 0.5323, 0.1802)
Tl (0.2070, 0.3604, 0.4140)


# 22
# Tl2HgPd2

A relaxed Tl2HgPd2 crystal (PBE-GGA, the Alexandria database).

N(E_F) ... 1.64 states/eV/cell
Total energy ... -14.8 eV for the cell shown
Energy of formation ... 0.1221 eV/atom
Magnetic moment ... 0.00 μB/cell

Unit cell a=4.3311 b=4.3311 c=7.0020 alpha=71.98 beta=71.98 gamma=90.00
Positions (direct):
Hg (0.0000, 0.0000, 0.0000)
Pd (0.6049, 0.6049, 0.7903)
Tl (0.2500, 0.7500, 0.5000)
Tl (0.7500, 0.2500, 0.5000)
Pd (0.3951, 0.3951, 0.2097)


# 23
# TlHg2Pd

A relaxed TlHg2Pd crystal (PBE-GGA, the Alexandria database).

N(E_F) ... 2.75 states/eV/cell
Total energy ... -17.0 eV for the cell shown
Energy of formation ... -0.0809 eV/atom
Magnetic moment ... 0.00 μB/cell

Unit cell a=4.0873 b=5.4659 c=8.9215 alpha=90.00 beta=90.00 gamma=111.96
Positions (direct):
Pd (0.2332, 0.4664, 0.2500)
Tl (0.9432, 0.8865, 0.2500)
Tl (0.0568, 0.1135, 0.7500)
Hg (0.3592, 0.7185, 0.9532)
Hg (0.3592, 0.7185, 0.5468)
Hg (0.6408, 0.2815, 0.0468)
Pd (0.7668, 0.5336, 0.7500)
Hg (0.6408, 0.2815, 0.4532)